{
  "formula": "Cr2ReTe",
  "functional": "PBE-GGA",
  "state": "optimized geometry",
  "cell": [[-3.429, 0.165, 1.240], [0.348, -2.618, 1.309], [2.172, 1.535, 5.803]],
  "species": ["Cr", "Cr", "Re", "Te"],
  "frac_coords": [[0.000, 0.913, 0.048], [0.500, 0.318, 0.241], [0.000, 0.731, 0.413], [0.500, 0.537, 0.798]],
  "formation_energy_uncorrected_mev_per_atom": 545,
  "sg": "Amm2 (38)",
  "m_tot_mub_per_atom": 0.0789
}